No. 1
Pr2Sm2Sb2H: relaxed, GGA-PBE.

Calculated values
**VASP energy**: -5.214 eV per atom

Lattice parameters (Å, degrees): 4.6131 4.6131 17.5755 90.00 90.00 90.00
With the nearest neighbours (Å) after each atom.
Space group I4/mmm (No. 139)
One atom of each set of equivalent atoms:
Pr 0.0000 0.0000 0.1786 [4 per cell]  1 H 3.14, 5 Sb 3.28-3.35
Sm 0.0000 0.5000 0.0000 [4 per cell]  2 H 2.31
Sb 0.0000 0.0000 0.3652 [4 per cell]  5 Pr 3.28-3.35, 4 Sm 3.31
H 0.0000 0.0000 0.0000 [2 per cell]  4 Sm 2.31


No. 2
Pr2Sm4Sb3H2: relaxed, GGA-PBE.

Calculated values
**VASP energy**: -5.091 eV per atom

Lattice parameters (Å, degrees): 4.7588 4.7588 25.4534 90.00 90.00 90.00
With the nearest neighbours (Å) after each atom.
Space group I4/mmm (No. 139)
One atom of each set of equivalent atoms:
Pr 0.0000 0.0000 0.1993 [4 per cell]  1 H 2.50
Sm 0.0000 0.5000 0.0816 [8 per cell]  2 H 2.43
Sb 0.0000 0.0000 0.3275 [4 per cell]  5 Pr 3.26-3.43, 4 Sm 3.32
Sb 0.0000 0.0000 0.5000 [2 per cell]  8 Sm 3.16
H 0.0000 0.0000 0.1011 [4 per cell]  4 Sm 2.43, 1 Pr 2.50


No. 3
Pr4SnSbH: relaxed, GGA-PBE.

Calculated values
**VASP energy**: -5.113 eV per atom

Lattice parameters (Å, degrees): 6.5783 17.9711 6.6002 90.00 90.00 90.00
With the nearest neighbours (Å) after each atom.
Space group Cmcm (No. 63)
One atom of each set of equivalent atoms:
Pr 0.0000 0.0705 0.2500 [4 per cell]  3 Sn 3.26-3.38, 2 Sb 3.38
Pr 0.0000 0.4286 0.2500 [4 per cell]  1 H 2.42
Pr 0.2500 0.2500 0.0000 [8 per cell]  2 H 2.46
Sn 0.0000 0.1112 0.7500 [4 per cell]  9 Pr 3.26-3.41
Sb 0.0000 0.3872 0.7500 [4 per cell]  9 Pr 3.31-3.39, 2 H 3.70
H 0.0000 0.2937 0.2500 [4 per cell]  5 Pr 2.42-2.46


No. 4
Pr2Th4Sb3H2: relaxed, GGA-PBE.

Calculated values
**VASP energy**: -5.900 eV per atom

Lattice parameters (Å, degrees): 4.6959 4.6959 26.8844 90.00 90.00 90.00
With the nearest neighbours (Å) after each atom.
Space group I4/mmm (No. 139)
One atom of each set of equivalent atoms:
Pr 0.0000 0.0000 0.2031 [4 per cell]  5 Sb 3.27-3.40, 1 H 3.65
Th 0.0000 0.5000 0.0841 [8 per cell]  2 H 2.39
Sb 0.0000 0.0000 0.3249 [4 per cell]  5 Pr 3.27-3.40, 4 Th 3.39
Sb 0.0000 0.0000 0.5000 [2 per cell]  8 Th 3.26
H 0.0000 0.0000 0.0675 [4 per cell]  4 Th 2.39


No. 5
Pr2Y4Sb3H2: relaxed, GGA-PBE.

Calculated values
**VASP energy**: -5.729 eV per atom

Lattice parameters (Å, degrees): 4.7197 4.7197 24.8619 90.00 90.00 90.00
With the nearest neighbours (Å) after each atom.
Space group I4/mmm (No. 139)
One atom of each set of equivalent atoms:
Pr 0.0000 0.0000 0.1981 [4 per cell]  1 H 2.50
Y 0.0000 0.5000 0.0811 [8 per cell]  2 H 2.40
Sb 0.0000 0.0000 0.3294 [4 per cell]  4 Y 3.24, 5 Pr 3.26-3.41
Sb 0.0000 0.0000 0.5000 [2 per cell]  8 Y 3.10
H 0.0000 0.0000 0.0976 [4 per cell]  4 Y 2.40, 1 Pr 2.50


No. 6
PrScH2: relaxed, GGA-PBE.

Calculated values
**Offset from the most stable computed form**: 0.0 meV/atom
**VASP energy**: -4.781 eV per atom

Lattice parameters (Å, degrees): 3.4329 3.4329 16.9397 90.00 90.00 120.00
With the nearest neighbours (Å) after each atom.
Space group R-3m (No. 166, hexagonal axes)
One atom of each set of equivalent atoms:
Pr 0.0000 0.0000 0.0000 [3 per cell]  6 H 2.63
Sc 0.0000 0.0000 0.5000 [3 per cell]  6 H 2.27
H 0.0000 0.0000 0.2315 [6 per cell]  3 Sc 2.27


No. 7
Pr3Sc5H12: relaxed, GGA-PBE.

Calculated values
**VASP energy**: -4.771 eV per atom

Lattice parameters (Å, degrees): 12.7214 12.7214 12.7214 90.00 90.00 90.00
With the nearest neighbours (Å) after each atom.
Space group Ia-3d (No. 230)
One atom of each set of equivalent atoms:
Pr 0.0000 0.2500 0.1250 [24 per cell]  8 H 2.38-2.42
Sc 0.0000 0.0000 0.0000 [16 per cell]  6 H 2.05
Sc 0.0000 0.2500 0.3750 [24 per cell]  4 H 2.03
H 0.0190 0.0620 0.6477 [96 per cell]  2 Sc 2.03-2.05


No. 8
PrScH2: relaxed, GGA-PBE.

Calculated values
**Offset from the most stable computed form**: 65.4 meV/atom
**VASP energy**: -4.715 eV per atom

Lattice parameters (Å, degrees): 3.4037 3.4037 17.5863 90.00 90.00 120.00
With the nearest neighbours (Å) after each atom.
Space group R3m (No. 160, hexagonal axes)
One atom of each set of equivalent atoms:
Pr 0.0000 0.0000 0.0000 [3 per cell]  6 H 2.60-2.89
Sc 0.0000 0.0000 0.1767 [3 per cell]  6 H 2.20-2.23
H 0.0000 0.0000 0.5701 [3 per cell]  3 Sc 2.23
H 0.0000 0.0000 0.7873 [3 per cell]  3 Sc 2.20


No. 9
Pr2Sc4Sn3H2: relaxed, GGA-PBE.

Calculated values
**VASP energy**: -5.478 eV per atom

Lattice parameters (Å, degrees): 4.5472 4.5472 24.1782 90.00 90.00 90.00
With the nearest neighbours (Å) after each atom.
Space group I4/mmm (No. 139)
One atom of each set of equivalent atoms:
Pr 0.0000 0.0000 0.1961 [4 per cell]  1 H 2.51
Sc 0.0000 0.5000 0.0791 [8 per cell]  2 H 2.30
Sn 0.0000 0.0000 0.3341 [4 per cell]  4 Sc 3.09, 5 Pr 3.30-3.34
Sn 0.0000 0.0000 0.5000 [2 per cell]  8 Sc 2.97
H 0.0000 0.0000 0.0922 [4 per cell]  4 Sc 2.30, 1 Pr 2.51


No. 10
Pr2Sc2Sn2H: relaxed, GGA-PBE.

Calculated values
**VASP energy**: -5.475 eV per atom

Lattice parameters (Å, degrees): 4.5219 4.5219 16.6531 90.00 90.00 90.00
With the nearest neighbours (Å) after each atom.
Space group I4/mmm (No. 139)
One atom of each set of equivalent atoms:
Pr 0.0000 0.0000 0.1748 [4 per cell]  1 H 2.91
Sc 0.0000 0.5000 0.0000 [4 per cell]  2 H 2.26
Sn 0.0000 0.0000 0.3753 [4 per cell]  4 Sc 3.07, 5 Pr 3.30-3.34
H 0.0000 0.0000 0.0000 [2 per cell]  4 Sc 2.26


No. 11
Pr4H2Se5: relaxed, GGA-PBE.

Calculated values
**VASP energy**: -5.367 eV per atom

Lattice parameters (Å, degrees): 17.1455 4.2997 8.0025 90.00 97.61 90.00
With the nearest neighbours (Å) after each atom.
Space group C2/m (No. 12)
One atom of each set of equivalent atoms:
Pr 0.0208 0.0000 0.2555 [4 per cell]  2 H 2.41
Pr 0.2133 0.5000 0.2271 [4 per cell]  1 H 2.37
H 0.0740 0.5000 0.1958 [4 per cell]  3 Pr 2.37-2.41
Se 0.0000 0.5000 0.5000 [2 per cell]  2 H 2.89, 4 Pr 2.96
Se 0.1406 0.0000 0.9733 [4 per cell]  5 Pr 3.10-3.25, 2 H 3.10
Se 0.1724 0.0000 0.4503 [4 per cell]  4 Pr 2.85-3.03


No. 12
Pr2HSe3: relaxed, GGA-PBE.

Calculated values
**VASP energy**: -5.292 eV per atom

Lattice parameters (Å, degrees): 11.6188 4.1265 11.3972 90.00 90.00 90.00
With the nearest neighbours (Å) after each atom.
Space group Pnma (No. 62)
One atom of each set of equivalent atoms:
Pr 0.0364 0.2500 0.1827 [4 per cell]  2 H 2.40
Pr 0.2014 0.2500 0.5129 [4 per cell]  1 H 2.38
H 0.1280 0.7500 0.1281 [4 per cell]  3 Pr 2.38-2.40
Se 0.0503 0.7500 0.3833 [4 per cell]  1 H 3.05, 5 Pr 3.08-3.15
Se 0.1236 0.2500 0.9328 [4 per cell]  3 H 3.00-3.04, 5 Pr 3.02-3.07
Se 0.2085 0.7500 0.7104 [4 per cell]  2 H 2.96, 4 Pr 2.98-3.10


No. 13
Pr2H4Se: relaxed, GGA-PBE.

Calculated values
**VASP energy**: -4.732 eV per atom

Lattice parameters (Å, degrees): 3.9729 3.9729 22.3532 90.00 90.00 120.00
With the nearest neighbours (Å) after each atom.
Space group R-3m (No. 166, hexagonal axes)
One atom of each set of equivalent atoms:
Pr 0.0000 0.0000 0.2425 [6 per cell]  7 H 2.30-2.51
H 0.0000 0.0000 0.1366 [6 per cell]  4 Pr 2.37-2.51, 3 H 2.43
H 0.0000 0.0000 0.4334 [6 per cell]  3 Pr 2.30, 3 H 2.43
Se 0.0000 0.0000 0.0000 [3 per cell]  8 H 3.05-3.20, 6 Pr 3.06


No. 14
Pr5H2Se5: relaxed, GGA-PBE.

Calculated values
**VASP energy**: -5.456 eV per atom

Lattice parameters (Å, degrees): 13.6154 4.1115 11.3924 90.00 109.98 90.00
With the nearest neighbours (Å) after each atom.
Space group C2/m (No. 12)
One atom of each set of equivalent atoms:
Pr 0.0000 0.0000 0.0000 [2 per cell]  2 H 2.73, 4 Se 2.94
Pr 0.1031 0.0000 0.3893 [4 per cell]  1 H 2.47
Pr 0.1768 0.5000 0.7900 [4 per cell]  2 H 2.61
H 0.0597 0.0000 0.7944 [4 per cell]  4 Pr 2.47-2.73
Se 0.0000 0.5000 0.5000 [2 per cell]  6 Pr 3.00-3.36
Se 0.1635 0.5000 0.0471 [4 per cell]  5 Pr 2.94-3.11, 1 Se 3.28
Se 0.2464 0.5000 0.3534 [4 per cell]  5 Pr 2.95-3.03, 1 Se 3.28


No. 15
Pr3HSe3: relaxed, GGA-PBE.

Calculated values
**VASP energy**: -5.459 eV per atom

Lattice parameters (Å, degrees): 8.2781 11.9544 7.3233 90.00 99.16 90.00
With the nearest neighbours (Å) after each atom.
Space group C2/m (No. 12)
One atom of each set of equivalent atoms:
Pr 0.1027 0.0000 0.3101 [4 per cell]  2 H 2.40-2.50
Pr 0.1923 0.3461 0.1996 [8 per cell]  1 H 2.32
H 0.1885 0.0000 0.6394 [4 per cell]  4 Pr 2.32-2.50
Se 0.0000 0.1607 0.0000 [4 per cell]  6 Pr 2.97-3.13
Se 0.0000 0.2176 0.5000 [4 per cell]  2 H 3.12, 6 Pr 3.13-3.29
Se 0.1015 0.5000 0.8374 [4 per cell]  3 Pr 2.83-3.03, 1 Se 3.13


No. 16
Pr2H3Se: relaxed, GGA-PBE.

Calculated values
**VASP energy**: -4.804 eV per atom

Lattice parameters (Å, degrees): 3.9981 3.9981 6.8786 90.00 90.00 120.00
With the nearest neighbours (Å) after each atom.
Space group P-3m1 (No. 164)
One atom of each set of equivalent atoms:
Pr 0.3333 0.6667 0.2761 [2 per cell]  4 H 2.40-2.43
H 0.0000 0.0000 0.5000 [1 per cell]  6 H 2.47
H 0.3333 0.6667 0.6297 [2 per cell]  4 Pr 2.40-2.43, 3 H 2.47
Se 0.0000 0.0000 0.0000 [1 per cell]  6 Pr 2.99


No. 17
Pr4HSe2: relaxed, GGA-PBE.

Calculated values
**VASP energy**: -5.182 eV per atom

Lattice parameters (Å, degrees): 4.4950 4.4950 16.7682 90.00 90.00 90.00
With the nearest neighbours (Å) after each atom.
Space group I4/mmm (No. 139)
One atom of each set of equivalent atoms:
Pr 0.0000 0.0000 0.1791 [4 per cell]  1 H 3.00, 5 Se 3.09-3.26
Pr 0.0000 0.5000 0.0000 [4 per cell]  2 H 2.25
H 0.0000 0.0000 0.0000 [2 per cell]  4 Pr 2.25
Se 0.0000 0.0000 0.3630 [4 per cell]  9 Pr 3.09-3.26


No. 18
Pr8Si3HSe4: relaxed, GGA-PBE.

Calculated values
**VASP energy**: -5.722 eV per atom

Lattice parameters (Å, degrees): 8.4942 8.4942 21.0038 90.00 90.00 120.00
With the nearest neighbours (Å) after each atom.
Space group R-3m (No. 166, hexagonal axes)
One atom of each set of equivalent atoms:
Pr 0.0000 0.0000 0.2469 [6 per cell]  3 Si 2.98, 3 Se 3.05
Pr 0.0060 0.5030 0.7530 [18 per cell]  2 Si 2.96, 1 H 3.01, 3 Se 3.01-3.07
Si 0.0000 0.5000 0.5000 [9 per cell]  6 Pr 2.96-2.98
H 0.0000 0.0000 0.5000 [3 per cell]  6 Pr 3.01
Se 0.0000 0.0000 0.0000 [3 per cell]  6 Pr 3.01
Se 0.0000 0.5000 0.0000 [9 per cell]  6 Pr 3.05-3.07


No. 19
Pr4SiHSe2: relaxed, GGA-PBE.

Calculated values
**VASP energy**: -5.515 eV per atom

Lattice parameters (Å, degrees): 7.1567 4.2238 7.3313 90.00 108.87 90.00
With the nearest neighbours (Å) after each atom.
Space group P2/m (No. 10)
One atom of each set of equivalent atoms:
Pr 0.2464 0.0000 0.2539 [2 per cell]  1 Si 2.90, 2 H 2.98, 3 Se 2.99
Pr 0.2483 0.5000 0.7362 [2 per cell]  1 H 2.87, 2 Si 2.94, 3 Se 3.02-3.03
Si 0.0000 0.0000 0.5000 [1 per cell]  6 Pr 2.90-2.94
H 0.5000 0.5000 0.5000 [1 per cell]  6 Pr 2.87-2.98
Se 0.0000 0.5000 0.0000 [1 per cell]  6 Pr 2.99-3.02
Se 0.5000 0.0000 0.0000 [1 per cell]  6 Pr 2.99-3.03